## Tb2Sm3Mg (GGA-PBE)

Data for an optimized crystal structure of Tb2Sm3Mg.

Computed properties:
- V (Å³/cell) = 380
- total DFT energy (no corrections) (eV/atom) = -4.15
- E above lowest polymorph (meV/atom) = 11
- energy of formation from the pure elements (kJ per mole of atoms) = 2
- magnetic moment (μB/cell) = 0.0

a b c (Å): 7.0373 6.2028 9.3809
angles (deg): 90.78 112.03 90.00
Atoms (fractional coordinates):
Sm (0.6322, 0.2500, 0.0000)
Mg (0.8683, 0.7500, 0.0000)
Tb (0.4568, 0.9136, 0.6670)
Sm (0.3678, 0.7500, 0.0000)
Sm (0.9578, 0.9207, 0.6660)
Sm (0.0422, 0.0793, 0.3340)
Sm (0.2918, 0.5793, 0.3340)
Tb (0.7898, 0.5864, 0.3330)
Tb (0.5432, 0.0864, 0.3330)
Sm (0.7082, 0.4207, 0.6660)
Tb (0.2102, 0.4136, 0.6670)
Mg (0.1317, 0.2500, 0.0000)



## Tc2W2Br (GGA-PBE)

Data for an optimized crystal structure of Tc2W2Br.

Computed properties:
- V (Å³/cell) = 103
- total DFT energy (no corrections) (eV/atom) = -8.87
- formation energy from raw total energies (meV/atom) = 787.4
- E above lowest polymorph (meV/atom) = 186
- magnetic moment (μB/cell) = 0.0

a b c (Å): 4.0095 4.0095 7.0026
angles (deg): 73.36 73.36 90.00
Atoms (fractional coordinates):
Br (0.0000, 0.0000, 0.0000)
Tc (0.7500, 0.2500, 0.5000)
W (0.3678, 0.3678, 0.2645)
W (0.6322, 0.6322, 0.7355)
Tc (0.2500, 0.7500, 0.5000)



## W2SeBr (GGA-PBE)

Data for an optimized crystal structure of W2SeBr.

Computed properties:
- V (Å³/cell) = 74
- total DFT energy (no corrections) (eV/atom) = -6.81
- formation energy from raw total energies (meV/atom) = 954.5
- E above lowest polymorph (meV/atom) = 814
- magnetic moment (μB/cell) = 0.0

a b c (Å): 3.3269 3.3282 6.7025
angles (deg): 90.00 90.00 90.00
Atoms (fractional coordinates):
Se (0.5000, 0.5000, 0.7500)
W (0.0000, 0.0000, 0.9326)
W (0.0000, 0.0000, 0.5674)
Br (0.5000, 0.5000, 0.2500)



## BaSnB2 (GGA-PBE)

Data for an optimized crystal structure of BaSnB2.

Computed properties:
- V (Å³/cell) = 182
- total DFT energy (no corrections) (eV/atom) = -4.08
- energy of formation from the pure elements (kJ per mole of atoms) = 71
- magnetic moment (μB/cell) = 0.0

a b c (Å): 4.9122 4.9122 8.3092
angles (deg): 72.81 72.81 90.00
Atoms (fractional coordinates):
Ba (0.7500, 0.2500, 0.5000)
Sn (0.2500, 0.7500, 0.5000)
B (0.8750, 0.6249, 0.7500)
B (0.3751, 0.6250, 0.2500)
Sn (0.5000, 0.5000, 0.0000)
Ba (0.0000, 0.0000, 0.0000)
B (0.3750, 0.6251, 0.7500)
B (0.3749, 0.1250, 0.2500)



## CuAg2Au9 (GGA-PBE)

Data for an optimized crystal structure of CuAg2Au9.

Computed properties:
- V (Å³/cell) = 212
- total DFT energy (no corrections) (eV/atom) = -3.29
- energy of formation from the pure elements (kJ per mole of atoms) = -2
- magnetic moment (μB/cell) = 0.0

a b c (Å): 4.1349 4.1349 12.3706
angles (deg): 90.00 90.00 90.00
Atoms (fractional coordinates):
Au (0.0000, 0.5000, 0.8411)
Ag (0.0000, 0.0000, 0.6701)
Cu (0.0000, 0.0000, 0.0000)
Ag (0.0000, 0.0000, 0.3299)
Au (0.5000, 0.5000, 0.6703)
Au (0.5000, 0.0000, 0.1589)
Au (0.5000, 0.0000, 0.8411)
Au (0.5000, 0.5000, 0.3297)
Au (0.0000, 0.5000, 0.5000)
Au (0.0000, 0.5000, 0.1589)
Au (0.5000, 0.0000, 0.5000)
Au (0.5000, 0.5000, 0.0000)



## In2SnF (GGA-PBE)

Data for an optimized crystal structure of In2SnF.

Computed properties:
- V (Å³/cell) = 90
- total DFT energy (no corrections) (eV/atom) = -3.46
- formation energy from raw total energies (meV/atom) = -625.7
- E above lowest polymorph (meV/atom) = 67
- magnetic moment (μB/cell) = 0.0

a b c (Å): 5.0210 5.0210 5.0210
angles (deg): 60.00 60.00 60.00
Atoms (fractional coordinates):
Sn (0.5000, 0.5000, 0.5000)
In (0.2500, 0.2500, 0.2500)
In (0.7500, 0.7500, 0.7500)
F (0.0000, 0.0000, 0.0000)